This record from Alexandria describes NaTiFeO4 after structural relaxation. The functional is PBE with a Hubbard U.

Geometry as POSCAR:
```
NaTiFeO4
1.0
-1.546 2.480 -0.635
-5.809 -4.973 -5.277
-6.339 -1.746 8.623
Na Ti Fe O
4 4 4 16
direct
0.500 0.256 0.100
0.500 0.756 0.900
0.000 0.741 0.405
0.000 0.241 0.595
0.000 0.584 0.146
0.000 0.084 0.854
0.000 0.561 0.637
0.000 0.061 0.363
0.500 0.419 0.354
0.500 0.919 0.646
0.500 0.433 0.862
0.500 0.933 0.138
0.500 0.527 0.036
0.500 0.027 0.964
0.000 0.478 0.469
0.000 0.978 0.531
0.500 0.199 0.399
0.500 0.699 0.601
0.000 0.791 0.098
0.000 0.291 0.902
0.500 0.620 0.264
0.500 0.120 0.736
0.000 0.392 0.229
0.000 0.892 0.771
0.500 0.424 0.672
0.500 0.924 0.328
0.000 0.574 0.817
0.000 0.074 0.183
```

DFT total energy in eV/atom: -7.183
DOS at the Fermi energy in states/eV per atom: 0.000
ρ in g/cm3: 4.2